# K2LiZnN

A geometry-optimized K2LiZnN structure (PBE, Alexandria).

Geometry as extended XYZ:
```
5
Lattice="6.0283 0.0000 0.0000 0.0000 6.0283 0.0000 0.0000 0.0000 4.7523" Properties=species:S:1:pos:R:3 pbc="T T T"
K 0.0000 3.0142 0.0000
K 3.0142 0.0000 0.0000
Li 0.0000 0.0000 0.0000
Zn 0.0000 0.0000 2.3762
N 3.0142 3.0142 2.3762
```

Results
M_tot (μB/cell): 0.12
Calculated volume (Å³ per cell): 173
Energy relative to the elements, uncorrected (eV per atom): 1.1350